(1)
Nb3ReB: optimized geometry, PBE.

a b c (Å): 4.3356 4.3356 4.3356
angles (deg): 90.00 90.00 90.00
With the nearest neighbours (Å) after each atom.
Atoms (fractional coordinates):
1 Nb 0.0000 0.5000 0.0000  2 B 2.17
2 Nb 0.0000 0.0000 0.5000  2 B 2.17
3 Nb 0.5000 0.0000 0.0000  2 B 2.17
4 B 0.0000 0.0000 0.0000  6 Nb 2.17
5 Re 0.5000 0.5000 0.5000  12 Nb 3.07

Results
- Size of the total moment: 0.00 μB per cell
- DOS(E_F): 1.76 states/eV/atom
- DFT formation energy: 222 meV/atom

---

(2)
Nb3ReB: optimized geometry, PBE.

a b c (Å): 4.8175 4.8175 4.8175
angles (deg): 90.00 90.00 90.00
With the nearest neighbours (Å) after each atom.
Atoms (fractional coordinates):
1 Re 0.0000 0.0000 0.0000  6 Nb 2.41
2 Nb 0.0000 0.5000 0.0000  2 Re 2.41
3 Nb 0.0000 0.0000 0.5000  2 Re 2.41
4 Nb 0.5000 0.0000 0.0000  2 Re 2.41
5 B 0.5000 0.5000 0.5000  12 Nb 3.41

Results
- Size of the total moment: 0.00 μB per cell
- DOS(E_F): 0.80 states/eV/atom
- DFT formation energy: 1938 meV/atom

---

> Among the records above, which one has the highest DOS(E_F)?

number 1